No. 1
The following is a PBE+U calculation of a relaxed structure of CrInGeO6, from Alexandria via LeMat-Bulk.

Values from the calculation:
V in Å³/cell: 198
E in eV per atom: -6.32
Space group: No. 102

abc: 4.636 4.636 9.216
angles: 90.00 90.00 90.00
Atoms (fractional coordinates):
Cr (0.000, 0.000, 0.000)
Cr (0.500, 0.500, 0.500)
In (0.000, 0.000, 0.665)
In (0.500, 0.500, 0.165)
Ge (0.000, 0.000, 0.329)
Ge (0.500, 0.500, 0.829)
O (0.178, 0.178, 0.163)
O (0.208, 0.208, 0.479)
O (0.211, 0.211, 0.845)
O (0.289, 0.711, 0.345)
O (0.292, 0.708, 0.979)
O (0.322, 0.678, 0.663)
O (0.678, 0.322, 0.663)
O (0.708, 0.292, 0.979)
O (0.711, 0.289, 0.345)
O (0.789, 0.789, 0.845)
O (0.792, 0.792, 0.479)
O (0.822, 0.822, 0.163)

***

No. 2
The following is a PBE+U calculation of a relaxed structure of Cr2InGeO6, from Alexandria via LeMat-Bulk.

Values from the calculation:
V in Å³/cell: 113
E in eV per atom: -6.87
Space group: No. 1

abc: 5.152 5.233 5.527
angles: 64.12 89.88 60.96
Atoms (fractional coordinates):
Cr (0.000, 0.000, 0.000)
Cr (0.496, 0.023, 0.461)
In (0.280, 0.453, 0.842)
Ge (0.804, 0.411, 0.389)
O (0.087, 0.225, 0.198)
O (0.192, 0.205, 0.670)
O (0.454, 0.471, 0.205)
O (0.597, 0.550, 0.645)
O (0.718, 0.858, 0.207)
O (0.872, 0.947, 0.668)